DFT (GGA-PBE) results for Ho2SbP after structural relaxation.

Values from the calculation:
The calculation puts the uncorrected formation energy at -1.233 eV per atom. The space-group type is R3m (160). The value obtained for the density of states at the Fermi level is 1.4 states/eV/f.u. The total magnetic moment is 0.0 μB/f.u.

Structure (extended XYZ):
```
4
Lattice="4.094 0.000 0.000 2.047 3.546 0.000 2.047 1.182 7.163" Properties=species:S:1:pos:R:3 pbc="T T T"
Ho 2.047 1.182 5.600
Ho 2.047 1.182 1.579
Sb 4.094 2.364 3.601
P 6.141 3.546 7.127
```

DFT (GGA-PBE) results for Si2HgRu after structural relaxation.

Values from the calculation:
The calculation puts the uncorrected formation energy at 0.165 eV per atom. The space-group type is Pm (6). The value obtained for the density of states at the Fermi level is 2.1 states/eV/f.u. The total magnetic moment is 0.0 μB/f.u.

Structure (extended XYZ):
```
4
Lattice="4.337 0.000 0.000 0.000 3.266 0.053 0.000 1.548 4.709" Properties=species:S:1:pos:R:3 pbc="T T T"
Hg 0.000 2.604 2.573
Ru 2.168 4.219 3.711
Si 0.000 2.655 0.077
Si 2.168 1.007 0.837
```

DFT (GGA-PBE) results for NbCr2Ru after structural relaxation.

Values from the calculation:
The space-group type is Fm-3m (225). The energy above the most stable polymorph in this dataset is 0.000 eV/atom. The value obtained for the density of states at the Fermi level is 7.0 states/eV/f.u. The total magnetic moment is 0.0 μB/f.u. As for the formation enthalpy at 0 K: 108 meV per atom.

Structure (extended XYZ):
```
4
Lattice="2.111 -3.388 1.550 0.692 -0.348 4.211 -2.088 -2.966 2.275" Properties=species:S:1:pos:R:3 pbc="T T T"
Ru 0.357 -3.351 4.018
Nb 0.000 0.000 0.000
Cr 0.179 -1.675 2.009
Cr 0.536 -5.026 6.027
```

DFT (GGA-PBE) results for BPAu after structural relaxation.

Values from the calculation:
The space-group type is R3m (160). The energy above the most stable polymorph in this dataset is 0.079 eV/atom. The value obtained for the density of states at the Fermi level is 1.6 states/eV/f.u. The total magnetic moment is 0.0 μB/f.u. As for the formation enthalpy at 0 K: 11 meV per atom.

Structure (extended XYZ):
```
9
Lattice="-0.454 3.141 0.046 -2.293 -1.950 1.009 5.879 0.637 14.597" Properties=species:S:1:pos:R:3 pbc="T T T"
P 2.262 0.245 5.615
P -1.378 -0.220 1.437
P 3.154 1.902 10.847
B 0.491 0.053 1.219
B 2.730 0.226 11.638
B 1.384 1.710 6.451
Au 1.335 0.145 3.315
Au 3.575 0.317 13.734
Au 2.228 1.802 8.547
```

DFT (GGA-PBE) results for AlZn2Br after structural relaxation.

Values from the calculation:
The calculation puts the uncorrected formation energy at 0.132 eV per atom. The space-group type is C2/m (12). The energy above the most stable polymorph in this dataset is 0.326 eV/atom. The value obtained for the density of states at the Fermi level is 1.4 states/eV/f.u. The total magnetic moment is 0.0 μB/f.u.

Structure (extended XYZ):
```
4
Lattice="-2.964 -2.442 3.116 0.238 -2.271 -4.841 1.743 -3.898 0.227" Properties=species:S:1:pos:R:3 pbc="T T T"
Zn 0.000 0.000 0.000
Zn 0.991 -3.084 -2.307
Al -1.363 -2.356 -0.863
Br -0.611 -3.170 1.672
```

DFT (GGA-PBE) results for NaAgS2 after structural relaxation.

Values from the calculation:
The calculation puts the uncorrected formation energy at 0.005 eV per atom. The space-group type is R-3m (166). The energy above the most stable polymorph in this dataset is 0.097 eV/atom. The value obtained for the density of states at the Fermi level is 3.5 states/eV/f.u. The total magnetic moment is 0.0 μB/f.u.

Structure (extended XYZ):
```
4
Lattice="-5.143 6.288 -0.771 -6.092 4.758 2.613 -3.116 7.161 2.363" Properties=species:S:1:pos:R:3 pbc="T T T"
Na 0.000 0.000 0.000
S -12.762 16.191 3.739
S -1.589 2.016 0.466
Ag -7.176 9.103 2.102
```

DFT (GGA-PBE) results for Ho7Sc2 after structural relaxation.

Values from the calculation:
The space-group type is P-31m (162). The energy above the most stable polymorph in this dataset is 0.000 eV/atom. The value obtained for the density of states at the Fermi level is 13.5 states/eV/f.u. The total magnetic moment is 0.0 μB/f.u. As for the formation enthalpy at 0 K: 43 meV per atom.

Structure (extended XYZ):
```
9
Lattice="-1.810 1.379 -5.561 -2.398 -4.709 2.859 -6.033 5.019 3.208" Properties=species:S:1:pos:R:3 pbc="T T T"
Ho 0.000 0.000 0.000
Ho -3.181 2.562 -2.642
Ho -3.572 -1.482 2.951
Ho -3.391 0.528 0.145
Ho -4.859 1.792 3.115
Ho -4.661 3.836 0.289
Ho -6.849 1.160 0.361
Sc -2.202 -2.680 0.052
Sc -2.006 -0.651 -2.754
```

DFT (GGA-PBE) results for Ce2As2Rh5 after structural relaxation.

Values from the calculation:
The space-group type is P4/mmm (123). The value obtained for the density of states at the Fermi level is 9.0 states/eV/f.u. The total magnetic moment is 0.6 μB/f.u. As for the formation enthalpy at 0 K: -812 meV per atom.

Structure (extended XYZ):
```
9
Lattice="4.196 0.000 0.000 0.000 4.196 0.000 0.000 0.000 9.030" Properties=species:S:1:pos:R:3 pbc="T T T"
Ce 0.000 0.000 0.000
Ce 0.000 0.000 4.515
As 2.098 2.098 1.270
As 2.098 2.098 7.760
Rh 2.098 0.000 2.475
Rh 2.098 0.000 6.555
Rh 0.000 2.098 2.475
Rh 0.000 2.098 6.555
Rh 2.098 2.098 4.515
```